! BaDy3Ni PBE relaxed; values from VASP
&SYSTEM
  ibrav = 0, nat = 5, ntyp = 3
/
ATOMIC_SPECIES
Ba 137.33 Ba.upf
Dy 162.50 Dy.upf
Ni 58.69 Ni.upf
CELL_PARAMETERS angstrom
5.4749 0.0000 0.0000
0.0000 5.4749 0.0000
0.0000 0.0000 5.4749
ATOMIC_POSITIONS angstrom
Ba 2.7374 2.7374 2.7374
Dy 0.0000 0.0000 2.7374
Dy 2.7374 0.0000 0.0000
Dy 0.0000 2.7374 0.0000
Ni 0.0000 0.0000 0.0000
! - DOS(E_F): 8.759 states/eV/f.u.
! - Volume: 164 Å³/cell
! - Uncorrected energy: -4.33 eV/atom
! - Symmetry: Pm-3m (221)
! - Spin magnetization: 0.000 μB/atom
! - Energy relative to the elements: -13 kJ/mol of formula units

! ScNi3H PBE relaxed; values from VASP
&SYSTEM
  ibrav = 0, nat = 20, ntyp = 3
/
ATOMIC_SPECIES
Sc 44.96 Sc.upf
H 1.01 H.upf
Ni 58.69 Ni.upf
CELL_PARAMETERS angstrom
16.1755 0.0000 -2.5983
0.0000 4.2495 0.0000
-5.8674 0.0000 4.0839
ATOMIC_POSITIONS angstrom
Sc 3.7620 3.1549 1.2153
Sc 14.7835 3.2194 -2.1258
Sc 6.5461 1.0947 0.2703
Sc -4.4754 1.0301 3.6114
H 11.9424 2.2582 -0.7775
H -1.6344 1.9913 2.2630
H 9.3871 0.1335 -1.0781
H 0.9209 4.1161 2.5636
Ni 4.0138 1.0209 -0.4088
Ni -0.2181 1.0477 1.6762
Ni 2.2870 1.0650 2.0501
Ni 10.8034 1.0771 -1.6648
Ni 10.5261 3.2019 -0.1907
Ni 6.2943 3.2286 1.8943
Ni 8.0210 3.1845 -0.5646
Ni -0.4953 3.1724 3.1504
Ni 9.1678 1.1038 0.3340
Ni 13.3085 1.0597 -1.2910
Ni 1.1402 3.1457 1.1516
Ni -3.0004 3.1898 2.7765
! - DOS(E_F): 1.802 states/eV/f.u.
! - Volume: 216 Å³/cell
! - Uncorrected energy: -5.76 eV/atom
! - Symmetry: P2_1/c (14)
! - Spin magnetization: 0.000 μB/atom

! SrRh3I PBE relaxed; values from VASP
&SYSTEM
  ibrav = 0, nat = 5, ntyp = 3
/
ATOMIC_SPECIES
Rh 102.91 Rh.upf
Sr 87.62 Sr.upf
I 126.90 I.upf
CELL_PARAMETERS angstrom
-2.7899 -0.0965 -4.2725
-1.5575 -4.7285 1.1239
-3.9797 1.9182 2.5554
ATOMIC_POSITIONS angstrom
Rh -1.9899 0.9591 1.2777
Rh -0.7788 -2.3642 0.5619
Rh -1.3950 -0.0483 -2.1363
Sr 0.0000 0.0000 0.0000
I -4.1636 -1.4534 -0.2967
! - DOS(E_F): 9.476 states/eV/f.u.
! - Volume: 133 Å³/cell
! - Uncorrected energy: -3.42 eV/atom
! - Energy relative to the elements, uncorrected: 1639 meV per atom
! - Symmetry: Pm-3m (221)
! - Spin magnetization: 0.464 μB/atom

! KTe2F9 PBE relaxed; values from VASP
&SYSTEM
  ibrav = 0, nat = 24, ntyp = 3
/
ATOMIC_SPECIES
F 19.00 F.upf
K 39.10 K.upf
Te 127.60 Te.upf
CELL_PARAMETERS angstrom
4.9899 -0.0015 -0.0011
-1.0566 9.4601 -0.0278
-0.9236 -3.3750 8.8483
ATOMIC_POSITIONS angstrom
F 3.2713 4.6895 3.4925
F 0.5582 -0.7349 4.0139
F 1.0541 4.8586 8.2164
F 2.4515 6.8184 4.8054
F 0.2188 6.2016 2.2883
F 3.8628 3.1648 0.5285
F 0.8095 -2.2408 6.6853
F -0.8531 2.9188 8.2908
F 0.7855 -0.0674 8.0469
F 2.2242 6.1510 0.7724
F 3.4394 4.8683 6.1656
F 2.7909 -0.1181 6.5310
F -0.2616 1.3940 5.3268
F 1.9556 1.2249 0.6030
F 0.5311 4.3382 4.7613
F -0.4297 1.2153 2.6538
F 2.4786 1.7453 4.0581
F 2.2002 8.3244 2.1340
K 1.1883 3.4745 2.1491
K 1.8214 2.6091 6.6702
Te 0.8507 7.4776 0.8179
Te 2.1590 -1.3941 8.0014
Te -0.7937 5.8430 4.7130
Te 3.8034 0.2406 4.1063
! - DOS(E_F): 0.000 states/eV/f.u.
! - Volume: 417 Å³/cell
! - Uncorrected energy: -4.33 eV/atom
! - Energy relative to the elements, uncorrected: -2310 meV per atom
! - Symmetry: P-1 (2)
! - Spin magnetization: 0.000 μB/atom